No. 1
# PBE-GGA Ce2ScGe3, relaxed
# volume	146.0	Å³ per cell
# formation energy	-0.61	eV/atom
data_Ce2ScGe3
_space_group_name_H-M_alt 'P 1'
_space_group_IT_number 1
_cell_length_a 4.6828
_cell_length_b 5.8826
_cell_length_c 6.4973
_cell_angle_alpha 116.92
_cell_angle_beta 111.12
_cell_angle_gamma 90.00
loop_
_space_group_symop_operation_xyz
'x,y,z'
loop_
_atom_site_label
_atom_site_type_symbol
_atom_site_fract_x
_atom_site_fract_y
_atom_site_fract_z
Ce1 Ce 0.3259 0.8259 0.6519
Ce2 Ce 0.6741 0.1741 0.3481
Sc1 Sc 0.0000 0.5000 0.0000
Ge1 Ge 0.0000 0.0000 0.0000
Ge2 Ge 0.3595 0.3595 0.7190
Ge3 Ge 0.6405 0.6405 0.2810

***

No. 2
# PBE-GGA Ba8Ge3I4Br, relaxed
# formation energy from raw total energies	-1.17	eV/atom
# volume	708.5	Å³ per cell
data_Ba8Ge3I4Br
_space_group_name_H-M_alt 'P 1'
_space_group_IT_number 1
_cell_length_a 9.7997
_cell_length_b 10.2253
_cell_length_c 9.8034
_cell_angle_alpha 118.66
_cell_angle_beta 119.99
_cell_angle_gamma 90.00
loop_
_space_group_symop_operation_xyz
'x,y,z'
loop_
_atom_site_label
_atom_site_type_symbol
_atom_site_fract_x
_atom_site_fract_y
_atom_site_fract_z
I1 I 0.5000 0.0000 0.0000
I2 I 0.0000 0.0000 0.0000
I3 I 0.0000 0.0000 0.5000
I4 I 0.5000 0.0000 0.5000
Ge1 Ge 0.0000 0.5000 0.5000
Ge2 Ge 0.5000 0.5000 0.0000
Ge3 Ge 0.5000 0.5000 0.5000
Ba1 Ba 0.2452 0.7111 0.4905
Ba2 Ba 0.7548 0.2889 0.5095
Ba3 Ba 0.2630 0.2888 0.5260
Ba4 Ba 0.2451 0.7110 0.9658
Ba5 Ba 0.7549 0.2890 0.0342
Ba6 Ba 0.7207 0.7110 0.9658
Ba7 Ba 0.2793 0.2890 0.0342
Ba8 Ba 0.7370 0.7112 0.4740
Br1 Br 0.0000 0.5000 0.0000

***

Which formula does entry 2 have?
Ba8Ge3I4Br